(1)
# LiMg2In6

An optimized crystal structure of LiMg2In6 (PBE-GGA, the Alexandria database).

## Properties
Calculated formation energy ... -0.056 eV per atom
Theoretical density ... 5.542 g cm⁻³
Total DFT energy (no corrections) ... -2.448 eV per atom
Fermi-level density of states ... 0.5243 states/eV per atom
Total magnetic moment ... 0.00 μB/f.u.
Relative energy among the computed polymorphs ... 0.00 eV per formula unit

CIF file:
```
data_LiMg2In6
_symmetry_space_group_name_H-M 'P 1'
_symmetry_Int_Tables_number 1
_cell_length_a 3.2845
_cell_length_b 9.3478
_cell_length_c 9.3478
_cell_angle_alpha 52.42
_cell_angle_beta 79.88
_cell_angle_gamma 79.88
loop_
_symmetry_equiv_pos_as_xyz
'x,y,z'
loop_
_atom_site_label
_atom_site_fract_x
_atom_site_fract_y
_atom_site_fract_z
_atom_site_occupancy
Li1 0.5000 0.5000 0.5000 1
Mg1 0.3549 0.1451 0.1451 1
Mg2 0.6451 0.8549 0.8549 1
In1 0.1746 0.5043 0.1466 1
In2 0.8254 0.4957 0.8534 1
In3 0.8254 0.8534 0.4957 1
In4 0.0000 0.1858 0.8142 1
In5 0.0000 0.8142 0.1858 1
In6 0.1746 0.1466 0.5043 1
```

(2)
# LiMg4In15

An optimized crystal structure of LiMg4In15 (PBE-GGA, the Alexandria database).

## Properties
Calculated formation energy ... -0.060 eV per atom
Theoretical density ... 6.112 g cm⁻³
Total DFT energy (no corrections) ... -2.528 eV per atom
Fermi-level density of states ... 0.3248 states/eV per atom
Total magnetic moment ... 0.00 μB/f.u.

CIF file:
```
data_LiMg4In15
_symmetry_space_group_name_H-M 'P 1'
_symmetry_Int_Tables_number 1
_cell_length_a 4.5781
_cell_length_b 4.5781
_cell_length_c 23.6749
_cell_angle_alpha 90.00
_cell_angle_beta 90.00
_cell_angle_gamma 90.00
loop_
_symmetry_equiv_pos_as_xyz
'x,y,z'
loop_
_atom_site_label
_atom_site_fract_x
_atom_site_fract_y
_atom_site_fract_z
_atom_site_occupancy
Li1 0.0000 0.0000 0.0000 1
Mg1 0.0000 0.0000 0.1954 1
Mg2 0.0000 0.0000 0.3990 1
Mg3 0.0000 0.0000 0.6010 1
Mg4 0.0000 0.0000 0.8046 1
In1 0.5000 0.5000 0.0000 1
In2 0.5000 0.5000 0.1969 1
In3 0.5000 0.5000 0.3987 1
In4 0.5000 0.5000 0.6013 1
In5 0.5000 0.5000 0.8031 1
In6 0.5000 0.0000 0.0961 1
In7 0.5000 0.0000 0.2977 1
In8 0.5000 0.0000 0.5000 1
In9 0.5000 0.0000 0.7023 1
In10 0.5000 0.0000 0.9039 1
In11 0.0000 0.5000 0.0961 1
In12 0.0000 0.5000 0.2977 1
In13 0.0000 0.5000 0.5000 1
In14 0.0000 0.5000 0.7023 1
In15 0.0000 0.5000 0.9039 1
```

(3)
# Li2Mg5In

An optimized crystal structure of Li2Mg5In (PBE-GGA, the Alexandria database).

## Properties
Calculated formation energy ... -0.021 eV per atom
Theoretical density ... 2.379 g cm⁻³
Total DFT energy (no corrections) ... -1.838 eV per atom
Fermi-level density of states ... 0.3862 states/eV per atom
Total magnetic moment ... 0.00 μB/f.u.
Relative energy among the computed polymorphs ... 0.46 eV per formula unit

CIF file:
```
data_Li2Mg5In
_symmetry_space_group_name_H-M 'P 1'
_symmetry_Int_Tables_number 1
_cell_length_a 7.5557
_cell_length_b 7.5557
_cell_length_c 8.1230
_cell_angle_alpha 117.72
_cell_angle_beta 117.72
_cell_angle_gamma 90.00
loop_
_symmetry_equiv_pos_as_xyz
'x,y,z'
loop_
_atom_site_label
_atom_site_fract_x
_atom_site_fract_y
_atom_site_fract_z
_atom_site_occupancy
Li1 0.1377 0.3623 0.0000 1
Li2 0.6377 0.1377 0.0000 1
Li3 0.3623 0.8623 0.0000 1
Li4 0.8623 0.6377 0.0000 1
Mg1 0.4952 0.6947 0.6898 1
Mg2 0.8053 0.0048 0.3102 1
Mg3 0.0000 0.0000 0.0000 1
Mg4 0.5000 0.5000 0.0000 1
Mg5 0.1947 0.9952 0.6898 1
Mg6 0.6947 0.1947 0.6898 1
Mg7 0.9952 0.4952 0.6898 1
Mg8 0.3053 0.8053 0.3102 1
Mg9 0.0048 0.5048 0.3102 1
Mg10 0.5048 0.3053 0.3102 1
In1 0.7500 0.7500 0.5000 1
In2 0.2500 0.2500 0.5000 1
```

(4)
# Li2Mg2In5

An optimized crystal structure of Li2Mg2In5 (PBE-GGA, the Alexandria database).

## Properties
Calculated formation energy ... -0.108 eV per atom
Theoretical density ... 5.056 g cm⁻³
Total DFT energy (no corrections) ... -2.409 eV per atom
Fermi-level density of states ... 0.3897 states/eV per atom
Total magnetic moment ... 0.00 μB/f.u.
Relative energy among the computed polymorphs ... 0.00 eV per formula unit

CIF file:
```
data_Li2Mg2In5
_symmetry_space_group_name_H-M 'P 1'
_symmetry_Int_Tables_number 1
_cell_length_a 5.5380
_cell_length_b 10.1500
_cell_length_c 9.4206
_cell_angle_alpha 122.60
_cell_angle_beta 107.09
_cell_angle_gamma 90.00
loop_
_symmetry_equiv_pos_as_xyz
'x,y,z'
loop_
_atom_site_label
_atom_site_fract_x
_atom_site_fract_y
_atom_site_fract_z
_atom_site_occupancy
Li1 0.1002 0.4982 0.6996 1
Li2 0.8998 0.7986 0.3004 1
Li3 0.0994 0.9982 0.6996 1
Li4 0.9006 0.2986 0.3004 1
Mg1 0.0000 0.8986 0.0000 1
Mg2 0.5000 0.3986 0.0000 1
Mg3 0.4997 0.8980 0.5000 1
Mg4 0.5003 0.3980 0.5000 1
In1 0.7005 0.5992 0.9009 1
In2 0.2995 0.6983 0.0991 1
In3 0.7004 0.0992 0.9009 1
In4 0.2996 0.1983 0.0991 1
In5 0.3908 0.7652 0.7333 1
In6 0.6092 0.0319 0.2667 1
In7 0.8425 0.2652 0.7333 1
In8 0.1575 0.5319 0.2667 1
In9 0.1911 0.1482 0.5000 1
In10 0.8089 0.6482 0.5000 1
```

(5)
# Li6Mg2In3

An optimized crystal structure of Li6Mg2In3 (PBE-GGA, the Alexandria database).

## Properties
Calculated formation energy ... 0.084 eV per atom
Theoretical density ... 2.731 g cm⁻³
Total DFT energy (no corrections) ... -1.997 eV per atom
Fermi-level density of states ... 0.2831 states/eV per atom
Total magnetic moment ... 0.00 μB/f.u.

CIF file:
```
data_Li6Mg2In3
_symmetry_space_group_name_H-M 'P 1'
_symmetry_Int_Tables_number 1
_cell_length_a 5.1140
_cell_length_b 5.1140
_cell_length_c 10.7349
_cell_angle_alpha 103.78
_cell_angle_beta 103.78
_cell_angle_gamma 90.00
loop_
_symmetry_equiv_pos_as_xyz
'x,y,z'
loop_
_atom_site_label
_atom_site_fract_x
_atom_site_fract_y
_atom_site_fract_z
_atom_site_occupancy
Li1 0.1053 0.6053 0.2106 1
Li2 0.6053 0.1053 0.2106 1
Li3 0.8947 0.3947 0.7894 1
Li4 0.3947 0.8947 0.7894 1
Li5 0.7092 0.7092 0.4183 1
Li6 0.2908 0.2908 0.5817 1
Mg1 0.4324 0.4324 0.8648 1
Mg2 0.5676 0.5676 0.1352 1
In1 0.0000 0.0000 0.0000 1
In2 0.8479 0.8479 0.6959 1
In3 0.1521 0.1521 0.3041 1
```

(6)
# LiMg3In12

An optimized crystal structure of LiMg3In12 (PBE-GGA, the Alexandria database).

## Properties
Calculated formation energy ... -0.060 eV per atom
Theoretical density ... 6.105 g cm⁻³
Total DFT energy (no corrections) ... -2.533 eV per atom
Fermi-level density of states ... 0.4528 states/eV per atom
Total magnetic moment ... 0.00 μB/f.u.

CIF file:
```
data_LiMg3In12
_symmetry_space_group_name_H-M 'P 1'
_symmetry_Int_Tables_number 1
_cell_length_a 4.6889
_cell_length_b 4.6889
_cell_length_c 18.0347
_cell_angle_alpha 90.00
_cell_angle_beta 90.00
_cell_angle_gamma 90.00
loop_
_symmetry_equiv_pos_as_xyz
'x,y,z'
loop_
_atom_site_label
_atom_site_fract_x
_atom_site_fract_y
_atom_site_fract_z
_atom_site_occupancy
Li1 0.0000 0.0000 0.0000 1
Mg1 0.0000 0.0000 0.2457 1
Mg2 0.0000 0.0000 0.5000 1
Mg3 0.0000 0.0000 0.7543 1
In1 0.5000 0.5000 0.0000 1
In2 0.5000 0.5000 0.2481 1
In3 0.5000 0.5000 0.5000 1
In4 0.5000 0.5000 0.7519 1
In5 0.5000 0.0000 0.1217 1
In6 0.5000 0.0000 0.3730 1
In7 0.5000 0.0000 0.6270 1
In8 0.5000 0.0000 0.8783 1
In9 0.0000 0.5000 0.1217 1
In10 0.0000 0.5000 0.3730 1
In11 0.0000 0.5000 0.6270 1
In12 0.0000 0.5000 0.8783 1
```

(7)
# LiMg2In

An optimized crystal structure of LiMg2In (PBE-GGA, the Alexandria database).

## Properties
Calculated formation energy ... -0.141 eV per atom
Theoretical density ... 3.297 g cm⁻³
Total DFT energy (no corrections) ... -2.102 eV per atom
Fermi-level density of states ... 0.3538 states/eV per atom
Total magnetic moment ... 0.00 μB/f.u.

CIF file:
```
data_LiMg2In
_symmetry_space_group_name_H-M 'P 1'
_symmetry_Int_Tables_number 1
_cell_length_a 5.3396
_cell_length_b 5.3396
_cell_length_c 5.3396
_cell_angle_alpha 130.61
_cell_angle_beta 130.56
_cell_angle_gamma 72.47
loop_
_symmetry_equiv_pos_as_xyz
'x,y,z'
loop_
_atom_site_label
_atom_site_fract_x
_atom_site_fract_y
_atom_site_fract_z
_atom_site_occupancy
Mg1 0.9999 0.9999 0.0000 1
Mg2 0.7498 0.2498 0.5000 1
Li1 0.2503 0.7503 0.5000 1
In1 0.4999 0.4999 0.0000 1
```

(8)
# Li5MgIn3

An optimized crystal structure of Li5MgIn3 (PBE-GGA, the Alexandria database).

## Properties
Calculated formation energy ... -0.220 eV per atom
Theoretical density ... 3.800 g cm⁻³
Total DFT energy (no corrections) ... -2.374 eV per atom
Fermi-level density of states ... 0.4553 states/eV per atom
Total magnetic moment ... 0.00 μB/f.u.

CIF file:
```
data_Li5MgIn3
_symmetry_space_group_name_H-M 'P 1'
_symmetry_Int_Tables_number 1
_cell_length_a 5.8422
_cell_length_b 8.3490
_cell_length_c 8.3487
_cell_angle_alpha 120.00
_cell_angle_beta 90.00
_cell_angle_gamma 90.00
loop_
_symmetry_equiv_pos_as_xyz
'x,y,z'
loop_
_atom_site_label
_atom_site_fract_x
_atom_site_fract_y
_atom_site_fract_z
_atom_site_occupancy
Li1 0.0000 0.6667 0.3333 1
Li2 0.5000 0.3333 0.6667 1
Li3 0.0000 0.3333 0.6667 1
Li4 0.5000 0.6667 0.3333 1
Li5 0.7500 0.6677 0.6678 1
Li6 0.7500 0.0000 0.3322 1
Li7 0.7500 0.3323 0.0000 1
Li8 0.2500 0.3323 0.3322 1
Li9 0.2500 0.0000 0.6678 1
Li10 0.2500 0.6677 0.0000 1
Mg1 0.0000 0.0000 0.0000 1
Mg2 0.5000 0.0000 0.0000 1
In1 0.7500 0.3375 0.3375 1
In2 0.7500 0.0000 0.6625 1
In3 0.7500 0.6625 0.0000 1
In4 0.2500 0.6625 0.6625 1
In5 0.2500 0.0000 0.3375 1
In6 0.2500 0.3375 0.0000 1
```

(9)
# Li3Mg2In2

An optimized crystal structure of Li3Mg2In2 (PBE-GGA, the Alexandria database).

## Properties
Calculated formation energy ... -0.092 eV per atom
Theoretical density ... 3.296 g cm⁻³
Total DFT energy (no corrections) ... -2.151 eV per atom
Fermi-level density of states ... 0.3937 states/eV per atom
Total magnetic moment ... 0.00 μB/f.u.
Relative energy among the computed polymorphs ... 0.68 eV per formula unit

CIF file:
```
data_Li3Mg2In2
_symmetry_space_group_name_H-M 'P 1'
_symmetry_Int_Tables_number 1
_cell_length_a 3.1249
_cell_length_b 4.6326
_cell_length_c 10.6630
_cell_angle_alpha 102.55
_cell_angle_beta 90.00
_cell_angle_gamma 90.00
loop_
_symmetry_equiv_pos_as_xyz
'x,y,z'
loop_
_atom_site_label
_atom_site_fract_x
_atom_site_fract_y
_atom_site_fract_z
_atom_site_occupancy
Li1 0.5000 0.5712 0.1424 1
Li2 0.5000 0.4288 0.8576 1
Li3 0.0000 0.0000 0.0000 1
Mg1 0.5000 0.7079 0.4159 1
Mg2 0.5000 0.2921 0.5841 1
In1 0.0000 0.8577 0.7153 1
In2 0.0000 0.1423 0.2847 1
```

(10)
# Li3MgIn6

An optimized crystal structure of Li3MgIn6 (PBE-GGA, the Alexandria database).

## Properties
Calculated formation energy ... -0.120 eV per atom
Theoretical density ... 5.281 g cm⁻³
Total DFT energy (no corrections) ... -2.496 eV per atom
Fermi-level density of states ... 0.2299 states/eV per atom
Total magnetic moment ... 0.00 μB/f.u.
Relative energy among the computed polymorphs ... 0.54 eV per formula unit

CIF file:
```
data_Li3MgIn6
_symmetry_space_group_name_H-M 'P 1'
_symmetry_Int_Tables_number 1
_cell_length_a 8.7445
_cell_length_b 5.8544
_cell_length_c 5.8544
_cell_angle_alpha 63.84
_cell_angle_beta 64.15
_cell_angle_gamma 64.15
loop_
_symmetry_equiv_pos_as_xyz
'x,y,z'
loop_
_atom_site_label
_atom_site_fract_x
_atom_site_fract_y
_atom_site_fract_z
_atom_site_occupancy
Li1 0.3130 0.0412 0.0412 1
Li2 0.6870 0.9588 0.9588 1
Li3 0.0000 0.0000 0.0000 1
Mg1 0.5000 0.5000 0.5000 1
In1 0.2992 0.0598 0.5437 1
In2 0.7008 0.4563 0.9402 1
In3 0.7008 0.9402 0.4563 1
In4 0.2992 0.5437 0.0598 1
In5 0.0711 0.6449 0.6449 1
In6 0.9289 0.3551 0.3551 1
```

(11)
# LiMgIn6

An optimized crystal structure of LiMgIn6 (PBE-GGA, the Alexandria database).

## Properties
Calculated formation energy ... -0.083 eV per atom
Theoretical density ... 6.068 g cm⁻³
Total DFT energy (no corrections) ... -2.575 eV per atom
Fermi-level density of states ... 0.4629 states/eV per atom
Total magnetic moment ... 0.00 μB/f.u.

CIF file:
```
data_LiMgIn6
_symmetry_space_group_name_H-M 'P 1'
_symmetry_Int_Tables_number 1
_cell_length_a 4.6499
_cell_length_b 4.6499
_cell_length_c 9.1138
_cell_angle_alpha 90.00
_cell_angle_beta 90.00
_cell_angle_gamma 90.00
loop_
_symmetry_equiv_pos_as_xyz
'x,y,z'
loop_
_atom_site_label
_atom_site_fract_x
_atom_site_fract_y
_atom_site_fract_z
_atom_site_occupancy
Li1 0.0000 0.0000 0.5000 1
Mg1 0.0000 0.0000 0.0000 1
In1 0.5000 0.5000 0.0000 1
In2 0.5000 0.5000 0.5000 1
In3 0.5000 0.0000 0.2544 1
In4 0.5000 0.0000 0.7456 1
In5 0.0000 0.5000 0.2544 1
In6 0.0000 0.5000 0.7456 1
```

(12)
# Li5Mg2In4

An optimized crystal structure of Li5Mg2In4 (PBE-GGA, the Alexandria database).

## Properties
Calculated formation energy ... -0.176 eV per atom
Theoretical density ... 3.928 g cm⁻³
Total DFT energy (no corrections) ... -2.331 eV per atom
Fermi-level density of states ... 0.3845 states/eV per atom
Total magnetic moment ... 0.00 μB/f.u.

CIF file:
```
data_Li5Mg2In4
_symmetry_space_group_name_H-M 'P 1'
_symmetry_Int_Tables_number 1
_cell_length_a 3.2454
_cell_length_b 7.6635
_cell_length_c 18.4450
_cell_angle_alpha 90.00
_cell_angle_beta 90.00
_cell_angle_gamma 90.00
loop_
_symmetry_equiv_pos_as_xyz
'x,y,z'
loop_
_atom_site_label
_atom_site_fract_x
_atom_site_fract_y
_atom_site_fract_z
_atom_site_occupancy
Li1 0.0000 0.5000 0.0000 1
Li2 0.0000 0.0000 0.5000 1
Li3 0.0000 0.2778 0.1930 1
Li4 0.0000 0.7222 0.8070 1
Li5 0.0000 0.7778 0.3070 1
Li6 0.0000 0.2222 0.6930 1
Li7 0.0000 0.3570 0.4331 1
Li8 0.0000 0.6430 0.5669 1
Li9 0.0000 0.8570 0.0669 1
Li10 0.0000 0.1430 0.9331 1
Mg1 0.5000 0.4574 0.3035 1
Mg2 0.5000 0.5426 0.6965 1
Mg3 0.5000 0.9574 0.1965 1
Mg4 0.5000 0.0426 0.8035 1
In1 0.5000 0.3056 0.5625 1
In2 0.5000 0.6944 0.4375 1
In3 0.5000 0.8056 0.9375 1
In4 0.5000 0.1944 0.0625 1
In5 0.5000 0.4153 0.8522 1
In6 0.5000 0.5847 0.1478 1
In7 0.5000 0.9153 0.6478 1
In8 0.5000 0.0847 0.3522 1
```